Entry 1:
A relaxed structure of RbTa3Ir. Source: the Alexandria database, functional PBE-GGA. Values from VASP.

The structure in Quantum ESPRESSO input format:
```
&SYSTEM
  ibrav = 0, nat = 5, ntyp = 3
/
ATOMIC_SPECIES
Ir 192.22 Ir.upf
Ta 180.95 Ta.upf
Rb 85.47 Rb.upf
CELL_PARAMETERS angstrom
5.028 0.000 0.000
0.000 5.028 0.000
0.000 0.000 5.028
ATOMIC_POSITIONS crystal
Ir 0.000 0.000 0.000
Ta 0.000 0.000 0.500
Ta 0.500 0.000 0.000
Ta 0.000 0.500 0.000
Rb 0.500 0.500 0.500
```

Calculated values
As for the space group: Pm-3m. The value obtained for the density is 10.72 Mg/m³. The energy above the most stable polymorph in this dataset is 0 meV per atom. For the magnetization, the calculation gives 0.1701 μB/atom.

Entry 2:
A relaxed structure of BaEuGaCu. Source: the Alexandria database, functional PBE-GGA. Values from VASP.

The structure in Quantum ESPRESSO input format:
```
&SYSTEM
  ibrav = 0, nat = 4, ntyp = 4
/
ATOMIC_SPECIES
Ba 137.33 Ba.upf
Ga 69.72 Ga.upf
Cu 63.55 Cu.upf
Eu 151.96 Eu.upf
CELL_PARAMETERS angstrom
-4.622 -2.837 -0.863
-0.049 -5.447 0.695
-2.703 -2.202 4.243
ATOMIC_POSITIONS crystal
Ba 0.500 0.500 0.500
Ga 0.750 0.750 0.750
Cu 0.250 0.250 0.250
Eu 0.000 0.000 0.000
```

Calculated values
As for the space group: F-43m. The value obtained for the density is 5.99 Mg/m³. For the magnetization, the calculation gives 1.8289 μB/atom.

| no. | uncorrected energy (eV per atom) |
| --- | --- |
| 1 | -7.73 |
| 2 | -4.95 |